(1)
This record from the Open Quantum Materials Database describes SmSe after structural relaxation. The functional is PBE-GGA.

Summary:
* SG: Fm-3m (225)

```
SmSe
1.0
-2.293 1.905 2.909
-1.863 -2.144 -3.047
2.104 -2.014 2.978
Se Sm
1 1
Cartesian
-0.095 -0.055 2.943
0.000 0.000 0.000
```

---

(2)
This record from the Open Quantum Materials Database describes SmSe2 after structural relaxation. The functional is PBE-GGA.

Summary:
* SG: Fd-3m (227)

```
SmSe2
1.0
-0.347 3.546 4.665
1.388 5.680 -0.521
-4.205 4.087 0.274
Se Sm
4 2
Cartesian
0.125 6.277 2.624
-2.671 5.480 3.022
-1.804 6.547 0.429
-1.977 8.320 2.761
0.000 0.000 0.000
-0.791 3.328 1.105
```

---

(3)
This record from the Open Quantum Materials Database describes Sm2Se3 after structural relaxation. The functional is PBE-GGA.

Summary:
* SG: Fddd (70)

```
Sm2Se3
1.0
0.903 -2.329 13.633
-3.583 3.215 12.327
-3.930 -5.815 1.817
Se Sm
12 8
Cartesian
-1.065 -1.228 17.843
-3.267 0.882 15.061
-1.280 -2.399 13.765
-3.617 -0.204 11.174
-1.485 -3.569 9.688
-2.932 -3.631 20.710
-5.121 -1.431 18.109
-3.141 -4.729 16.612
-5.329 -2.530 14.011
-3.194 -5.806 12.707
-5.547 -3.628 9.914
-6.982 -3.762 20.956
-1.344 0.421 12.902
-2.988 -0.767 20.002
-3.199 -1.899 15.927
-1.961 -2.886 0.987
-3.410 -3.030 11.850
-4.851 -3.131 22.871
-3.621 -4.161 7.775
-5.063 -4.262 18.794
```

---

(4)
This record from the Open Quantum Materials Database describes SmSe after structural relaxation. The functional is PBE-GGA.

Summary:
* SG: F-43m (216)

```
SmSe
1.0
4.221 -0.484 1.813
0.923 -3.569 2.784
2.761 -3.408 -1.451
Se Sm
1 1
Cartesian
0.000 0.000 0.000
1.976 -1.865 0.786
```

---

(5)
This record from the Open Quantum Materials Database describes SmSe after structural relaxation. The functional is PBE-GGA.

Summary:
* SG: P-6m2 (187)

```
SmSe
1.0
-0.568 2.339 -3.129
-2.395 -3.075 0.627
-2.341 2.254 2.110
Se Sm
1 1
Cartesian
-2.933 2.225 -0.294
-2.372 -0.707 -0.098
```

---

(6)
This record from the Open Quantum Materials Database describes Sm5Se6 after structural relaxation. The functional is PBE-GGA.

Summary:
* SG: C2/m (12)

```
Sm5Se6
1.0
4.299 5.527 1.599
-5.618 0.987 -4.366
-3.445 -0.685 6.249
Se Sm
6 5
Cartesian
-1.834 4.742 -0.560
0.454 2.190 1.849
-2.816 0.693 -0.118
-1.948 5.137 3.600
-5.218 3.640 1.633
-2.929 1.087 4.042
0.981 4.008 -0.397
-2.299 2.507 -2.370
0.944 4.437 3.741
-2.382 2.915 1.741
-5.707 1.392 -0.259
```

---

(7)
This record from the Open Quantum Materials Database describes Sm2Se3 after structural relaxation. The functional is PBE-GGA.

Summary:
* SG: Pnma (62)

```
Sm2Se3
1.0
-8.997 -6.025 -3.485
1.582 -0.165 -3.799
5.276 -9.386 2.605
Se Sm
12 8
Cartesian
-6.433 -5.948 -5.770
-3.054 -4.579 -4.422
-1.002 -3.548 -1.380
-4.963 -7.518 -2.857
2.763 -3.911 -2.029
0.114 -6.579 -3.016
-2.253 -8.997 -1.664
-4.902 -11.664 -2.651
2.823 -8.058 -1.823
-1.137 -12.028 -3.300
0.914 -10.996 -0.258
4.293 -9.627 1.090
-1.556 -1.990 -3.911
1.275 -1.868 -0.504
-2.559 -6.063 -1.919
-3.441 -9.652 -4.363
1.302 -5.924 -0.317
0.420 -9.513 -2.761
-3.414 -13.707 -4.176
-0.584 -13.585 -0.769
```

---

(8)
This record from the Open Quantum Materials Database describes Sm2SnSe3 after structural relaxation. The functional is PBE-GGA.

Summary:
* SG: P-3m1 (164)

```
Sm2SnSe3
1.0
4.207 0.000 0.000
-2.104 3.643 0.000
0.000 0.000 10.460
Se Sm Sn
3 2 1
Cartesian
0.000 2.429 1.809
0.000 0.000 5.230
2.104 1.214 8.651
2.104 1.214 3.662
0.000 2.429 6.798
0.000 0.000 0.000
```

---

(9)
This record from the Open Quantum Materials Database describes Sr2SmSe3 after structural relaxation. The functional is PBE-GGA.

Summary:
* SG: P-3m1 (164)

```
Sr2SmSe3
1.0
-3.523 2.418 0.552
-0.380 -4.111 -1.232
-0.475 -3.042 10.297
Se Sm Sr
3 1 2
Cartesian
0.000 0.000 0.000
-2.639 -0.805 3.502
-1.739 -3.929 6.115
-0.237 -1.521 5.148
-1.509 -2.455 1.124
-2.869 -2.280 8.493
```

---

(10)
This record from the Open Quantum Materials Database describes TbSm6Se8 after structural relaxation. The functional is PBE-GGA.

Summary:
* SG: Fm-3m (225)

```
TbSm6Se8
1.0
0.000 5.866 5.866
5.866 0.000 5.866
5.866 5.866 0.000
Se Sm Tb
8 6 1
Cartesian
2.930 5.866 5.866
5.866 2.930 5.866
5.866 5.866 8.802
2.933 2.933 2.933
8.799 8.799 8.799
5.866 5.866 2.930
5.866 8.802 5.866
8.802 5.866 5.866
0.000 2.933 2.933
2.933 0.000 2.933
2.933 2.933 5.866
2.933 2.933 0.000
2.933 5.866 2.933
5.866 2.933 2.933
0.000 0.000 0.000
```

---

(11)
This record from the Open Quantum Materials Database describes Tb2SmSe3 after structural relaxation. The functional is PBE-GGA.

Summary:
* SG: P-3m1 (164)

```
Tb2SmSe3
1.0
-3.328 -1.289 -2.028
3.646 -1.744 -0.720
-1.806 -6.779 7.274
Se Sm Tb
3 1 2
Cartesian
0.000 0.000 0.000
-1.595 -3.661 0.790
0.107 -6.152 3.736
-0.903 -3.390 3.637
1.023 -2.713 0.046
-2.511 -7.100 4.480
```

---

(12)
This record from the Open Quantum Materials Database describes Sm6Te5Se after structural relaxation. The functional is PBE-GGA.

Summary:
* SG: C2/m (12)

```
Sm6Te5Se
1.0
-3.666 5.813 -3.312
-3.888 -5.078 4.159
3.535 3.768 5.598
Se Sm Te
1 6 5
Cartesian
0.000 0.000 0.000
-0.873 2.696 0.331
-0.941 -0.637 2.617
-5.020 1.473 1.997
1.001 3.031 4.447
-3.078 5.140 3.828
-3.146 1.807 6.114
-3.741 2.153 -0.801
-3.813 -1.418 1.648
-1.938 5.773 0.806
-2.010 2.252 3.222
-2.081 -1.270 5.638
```

---

(13)
This record from the Open Quantum Materials Database describes SmTeSe2 after structural relaxation. The functional is PBE-GGA.

Summary:
* SG: Cmcm (63)
* energy relative to the lowest polymorph listed for this composition: 19.4 kJ/mol of atoms

```
SmTeSe2
1.0
9.164 8.181 -5.518
-10.527 -8.231 1.671
-2.385 3.213 0.804
Se Sm Te
4 2 2
Cartesian
7.054 7.723 -4.764
0.236 2.040 -2.275
-3.984 1.124 -0.768
-10.802 -4.559 1.722
-4.473 -1.884 -0.556
0.725 5.048 -2.487
-7.026 -4.012 0.376
3.278 7.176 -3.419
```

---

(14)
This record from the Open Quantum Materials Database describes Sm3Te2Se after structural relaxation. The functional is PBE-GGA.

Summary:
* SG: P-3m1 (164)

```
Sm3Te2Se
1.0
-1.530 -3.624 -1.824
3.060 2.317 -2.017
7.617 -5.725 4.981
Se Sm Te
1 3 2
Cartesian
0.000 0.000 0.000
2.637 -0.495 -1.229
3.809 -2.862 2.491
6.511 -6.536 2.369
2.470 -3.500 -0.273
6.677 -3.531 1.413
```

---

(15)
This record from the Open Quantum Materials Database describes SmTeSe2 after structural relaxation. The functional is PBE-GGA.

Summary:
* SG: Cmcm (63)
* energy relative to the lowest polymorph listed for this composition: 0.0 kJ/mol of atoms

```
SmTeSe2
1.0
2.065 -12.904 0.000
2.065 12.904 0.000
0.000 0.000 4.074
Se Sm Te
4 2 2
Cartesian
2.065 -2.108 1.019
2.065 7.575 1.019
2.065 -7.575 3.056
2.065 2.108 3.056
2.065 4.542 1.019
2.065 -4.542 3.056
2.065 -10.986 1.019
2.065 10.986 3.056
```

---

(16)
This record from the Open Quantum Materials Database describes Sm2TmSe3 after structural relaxation. The functional is PBE-GGA.

Summary:
* SG: P-3m1 (164)

```
Sm2TmSe3
1.0
-3.044 2.687 -0.530
0.169 -3.382 -2.302
-5.588 -4.971 6.892
Se Sm Tm
3 2 1
Cartesian
-1.767 -2.129 -0.644
-2.794 -2.485 3.446
-6.696 -3.537 4.704
-3.822 -0.981 1.160
-4.640 -4.685 2.899
0.000 0.000 0.000
```

---

(17)
This record from the Open Quantum Materials Database describes SmTm2Se3 after structural relaxation. The functional is PBE-GGA.

Summary:
* SG: P-3m1 (164)

```
SmTm2Se3
1.0
4.042 0.000 0.000
-2.021 3.500 0.000
0.000 0.000 10.043
Se Sm Tm
3 1 2
Cartesian
0.000 0.000 0.000
2.021 1.167 3.223
0.000 2.334 6.820
0.000 0.000 5.021
0.000 2.334 1.649
2.021 1.167 8.394
```

---

(18)
This record from the Open Quantum Materials Database describes Sm2YSe3 after structural relaxation. The functional is PBE-GGA.

Summary:
* SG: P-3m1 (164)

```
Sm2YSe3
1.0
-3.689 0.044 1.856
0.317 -1.210 -3.936
1.428 -9.589 3.064
Se Sm Y
3 2 1
Cartesian
-0.789 -2.329 -1.514
0.714 -4.795 1.532
-1.155 -8.426 2.498
-1.879 -3.560 0.943
-0.065 -7.196 0.041
0.000 0.000 0.000
```

---

(19)
This record from the Open Quantum Materials Database describes Sm2ZrSe5 after structural relaxation. The functional is PBE-GGA.

Summary:
* SG: Pnma (62)

```
Sm2ZrSe5
1.0
12.229 0.000 0.000
0.000 8.239 0.000
0.000 0.000 7.700
Se Sm Zr
20 8 4
Cartesian
6.162 6.180 0.396
1.115 0.317 1.255
1.115 3.802 1.255
10.016 2.060 1.280
9.686 6.180 1.436
3.571 6.180 2.414
3.902 2.060 2.570
7.230 0.317 2.595
7.230 3.802 2.595
0.047 6.180 3.454
12.182 2.060 4.246
4.999 4.437 5.105
4.999 7.922 5.105
8.328 6.180 5.130
8.658 2.060 5.286
2.543 2.060 6.264
2.213 6.180 6.420
11.114 4.437 6.445
11.114 7.922 6.445
6.067 2.060 7.304
3.930 4.151 0.209
3.930 8.209 0.209
10.045 4.151 3.642
10.045 8.209 3.642
2.185 0.031 4.059
2.185 4.089 4.059
8.299 0.031 7.492
8.299 4.089 7.492
0.088 6.180 0.614
6.202 6.180 3.236
6.027 2.060 4.464
12.142 2.060 7.086
```

---

(20)
This record from the Open Quantum Materials Database describes TbSn2Se3 after structural relaxation. The functional is PBE-GGA.

Summary:
* SG: P-3m1 (164)

```
TbSn2Se3
1.0
-3.014 1.704 -2.129
3.091 -1.797 -1.934
-5.811 -10.125 0.122
Se Sn Tb
3 2 1
Cartesian
0.234 -2.063 -1.982
-2.906 -5.062 0.061
-5.968 -8.155 -1.959
-2.950 -2.898 -2.023
-2.784 -7.320 -1.918
0.000 0.000 0.000
```

---

Computed size of the total moment, in the same sequence as the records: 0.0; 0.4; 0.0; 0.0; 0.7; 0.0; 0.0; 0.0; 0.0; 0.0; 0.0; 0.0; 0.0; 0.0; 0.0; 0.0; 0.0; 0.0; 0.0; 0.0 μB/f.u..
Computed calculated volume, in the same sequence as the records: 25.55; 23.84; 31.19; 34.86; 26.15; 27.50; 25.95; 26.72; 28.80; 26.91; 24.58; 30.22; 27.72; 29.18; 27.14; 24.61; 23.68; 25.03; 24.25; 27.84 Å³/atom.
Computed total energy, in the same sequence as the records: -5.919; -4.155; -5.854; -5.462; -5.826; -5.933; -5.873; -5.291; -5.050; -5.926; -5.860; -5.423; -4.703; -5.510; -4.904; -5.828; -5.734; -6.193; -6.109; -4.722 eV per atom.